Record 1
Computed, not measured: an optimized crystal structure of Cs3LiPb4 at the PBEsol level of DFT.

Computed properties:
Spin magnetization ... 0.00 μB per formula unit
Energy relative to the elements ... -0.28 eV per atom
Density ... 6.27 Mg/m³

a b c (Å): 7.2848 16.8130 10.6718
angles (deg): 90.00 90.00 90.00
Space group Cmcm (No. 63)
Inequivalent atoms, fractional coordinates:
Cs 0.0000 0.1145 0.0490
Cs 0.0000 0.2723 0.7500
Li 0.0000 0.5000 0.0000
Pb 0.0000 0.3361 0.1076
Pb 0.2169 0.4660 0.2500

=====

Record 2
Computed, not measured: an optimized crystal structure of Al7Tl3S12 at the PBEsol level of DFT.

Computed properties:
Spin magnetization ... 0.00 μB per formula unit
E_form (uncorrected) ... -963.9 meV/atom
Density ... 3.76 Mg/m³

a b c (Å): 9.0244 12.2785 9.4986
angles (deg): 90.00 95.91 90.00
Space group P2_1 (No. 4)
Inequivalent atoms, fractional coordinates:
Al 0.0179 0.0000 0.2957
Al 0.0328 0.7456 0.4710
Al 0.2868 0.2286 0.3020
Al 0.3057 0.3334 0.6772
Al 0.3335 0.6336 0.6752
Al 0.3687 0.9733 0.1382
Al 0.4802 0.2271 0.0169
Tl 0.0401 0.7109 0.0248
Tl 0.1203 0.4892 0.2668
Tl 0.3780 0.9880 0.6650
S 0.0425 0.1856 0.3180
S 0.0724 0.9247 0.5074
S 0.1206 0.9543 0.0997
S 0.1406 0.2016 0.7065
S 0.2292 0.4886 0.7809
S 0.2508 0.6652 0.4496
S 0.2665 0.2935 0.0825
S 0.3275 0.7744 0.8233
S 0.3555 0.3627 0.4529
S 0.4247 0.0733 0.3439
S 0.4670 0.8026 0.1952
S 0.4792 0.0494 0.9657

=====

Among the records above, which one has the highest density? Cs3LiPb4